No. 1
Density functional theory data (PBE) for a relaxed MoOs2Rh crystal. Values from VASP.

Values from the calculation:
Final energy in eV/atom: -10.063
Energy relative to the lowest polymorph listed for this composition in kJ per mole of atoms: 14.1
Energy of formation in eV per atom: 0.098
Calculated volume in Å³ per atom: 14.69
Crystal system: tetragonal

Cell and atoms, written as Quantum ESPRESSO input:
```
&SYSTEM
  ibrav = 0, nat = 4, ntyp = 3
/
ATOMIC_SPECIES
Mo 95.94 Mo.upf
Os 190.23 Os.upf
Rh 102.91 Rh.upf
ATOMIC_POSITIONS crystal
Mo 0.000 0.000 0.000
Os 0.500 0.500 0.251
Os 0.500 0.500 0.749
Rh 0.000 0.000 0.500
CELL_PARAMETERS angstrom
2.748 0.000 0.000
0.000 2.748 0.000
0.000 0.000 7.781
```


No. 2
Density functional theory data (PBE) for a relaxed Tb8Dy4Pu crystal. Values from VASP.

Values from the calculation:
Final energy in eV/atom: -4.855
Energy of formation in eV per atom: 0.513
Calculated volume in Å³ per atom: 35.44
Crystal system: trigonal

Cell and atoms, written as Quantum ESPRESSO input:
```
&SYSTEM
  ibrav = 0, nat = 13, ntyp = 3
/
ATOMIC_SPECIES
Tb 158.93 Tb.upf
Dy 162.50 Dy.upf
Pu 244.00 Pu.upf
ATOMIC_POSITIONS crystal
Tb 0.244 0.244 0.244
Tb 0.244 0.244 0.755
Tb 0.244 0.755 0.244
Tb 0.245 0.756 0.756
Tb 0.755 0.244 0.244
Tb 0.756 0.245 0.756
Tb 0.756 0.756 0.245
Tb 0.756 0.756 0.756
Dy 0.000 0.000 0.000
Dy 0.000 0.500 0.500
Dy 0.500 0.000 0.500
Dy 0.500 0.500 0.000
Pu 0.500 0.500 0.500
CELL_PARAMETERS angstrom
5.466 3.156 4.450
-5.466 3.156 4.450
0.000 -6.312 4.450
```


No. 3
Density functional theory data (PBE) for a relaxed SmBO3 crystal. Values from VASP.

Values from the calculation:
Final energy in eV/atom: -8.323
Uncorrected formation energy in eV per atom: -3.07
Calculated volume in Å³ per atom: 12.22
Crystal system: triclinic

Cell and atoms, written as Quantum ESPRESSO input:
```
&SYSTEM
  ibrav = 0, nat = 20, ntyp = 3
/
ATOMIC_SPECIES
Sm 150.36 Sm.upf
B 10.81 B.upf
O 16.00 O.upf
ATOMIC_POSITIONS crystal
Sm 0.047 0.266 0.333
Sm 0.442 0.813 0.222
Sm 0.558 0.187 0.778
Sm 0.953 0.734 0.667
B 0.017 0.240 0.780
B 0.480 0.274 0.266
B 0.520 0.726 0.734
B 0.983 0.760 0.220
O 0.045 0.776 0.036
O 0.089 0.645 0.369
O 0.151 0.131 0.715
O 0.372 0.128 0.386
O 0.384 0.797 0.838
O 0.426 0.461 0.250
O 0.574 0.539 0.750
O 0.616 0.203 0.162
O 0.628 0.872 0.614
O 0.849 0.869 0.285
O 0.911 0.355 0.631
O 0.955 0.224 0.964
CELL_PARAMETERS angstrom
6.316 0.000 0.000
-1.906 6.239 0.000
-1.823 -0.926 6.203
```


No. 4
Density functional theory data (PBE) for a relaxed SmGdDyAg crystal. Values from VASP.

Values from the calculation:
Final energy in eV/atom: -6.496
Energy of formation in eV per atom: 0.068
Calculated volume in Å³ per atom: 27.93
Crystal system: cubic

Cell and atoms, written as Quantum ESPRESSO input:
```
&SYSTEM
  ibrav = 0, nat = 16, ntyp = 4
/
ATOMIC_SPECIES
Sm 150.36 Sm.upf
Gd 157.25 Gd.upf
Dy 162.50 Dy.upf
Ag 107.87 Ag.upf
ATOMIC_POSITIONS crystal
Sm 0.000 0.000 0.000
Sm 0.000 0.500 0.500
Sm 0.500 0.000 0.500
Sm 0.500 0.500 0.000
Gd 0.250 0.250 0.750
Gd 0.250 0.750 0.250
Gd 0.750 0.250 0.250
Gd 0.750 0.750 0.750
Dy 0.000 0.000 0.500
Dy 0.000 0.500 0.000
Dy 0.500 0.000 0.000
Dy 0.500 0.500 0.500
Ag 0.250 0.250 0.250
Ag 0.250 0.750 0.750
Ag 0.750 0.250 0.750
Ag 0.750 0.750 0.250
CELL_PARAMETERS angstrom
7.646 0.000 0.000
0.000 7.646 0.000
0.000 0.000 7.646
```


No. 5
Density functional theory data (PBE) for a relaxed LaHo2Ni crystal. Values from VASP.

Values from the calculation:
Final energy in eV/atom: -5.091
Energy relative to the lowest polymorph listed for this composition in kJ per mole of atoms: 7.7
Energy of formation in eV per atom: -0.125
Calculated volume in Å³ per atom: 29.00
Crystal system: trigonal

Cell and atoms, written as Quantum ESPRESSO input:
```
&SYSTEM
  ibrav = 0, nat = 12, ntyp = 3
/
ATOMIC_SPECIES
La 138.91 La.upf
Ho 164.93 Ho.upf
Ni 58.69 Ni.upf
ATOMIC_POSITIONS crystal
La 0.000 0.000 0.000
La 0.333 0.667 0.667
La 0.667 0.333 0.333
Ho 0.000 0.000 0.552
Ho 0.000 0.000 0.774
Ho 0.333 0.667 0.219
Ho 0.333 0.667 0.441
Ho 0.667 0.333 0.107
Ho 0.667 0.333 0.886
Ni 0.000 0.000 0.163
Ni 0.333 0.667 0.829
Ni 0.667 0.333 0.496
CELL_PARAMETERS angstrom
3.855 0.000 0.000
-1.927 3.338 0.000
0.000 0.000 27.037
```


No. 6
Density functional theory data (PBE) for a relaxed KPrSm2Te4 crystal. Values from VASP.

Values from the calculation:
Final energy in eV/atom: -4.870
Uncorrected formation energy in eV per atom: -1.38
Calculated volume in Å³ per atom: 33.58
Crystal system: monoclinic

Cell and atoms, written as Quantum ESPRESSO input:
```
&SYSTEM
  ibrav = 0, nat = 8, ntyp = 4
/
ATOMIC_SPECIES
K 39.10 K.upf
Pr 140.91 Pr.upf
Sm 150.36 Sm.upf
Te 127.60 Te.upf
ATOMIC_POSITIONS crystal
K 0.000 0.000 0.000
Pr 0.500 0.500 0.000
Sm 0.000 0.500 0.500
Sm 0.500 0.000 0.500
Te 0.251 0.000 0.740
Te 0.262 0.500 0.267
Te 0.738 0.500 0.733
Te 0.749 0.000 0.260
CELL_PARAMETERS angstrom
7.929 0.000 0.000
0.000 4.489 0.000
-2.527 0.000 7.547
```


Number 1: total moment 0.0 μB/cell. Number 2: total moment 6.7 μB/cell. Number 3: total moment 0.0 μB/cell. Number 4: total moment 32.0 μB/cell. Number 5: total moment 0.0 μB/cell. Number 6: total moment 0.0 μB/cell.